The following is a PBE-GGA calculation of Sm5Al2Pt12 after structural relaxation, from Alexandria.

The total magnetization comes out at 0.00 μB per cell. As for the formation energy: -1.005 eV/atom.

a = 6.6795 Å, b = 7.2114 Å, c = 8.5138 Å
α = 64.94°, β = 86.18°, γ = 90.00°
Element x y z (fractional)
Sm1 0.5785 0.7595 0.4811
Sm2 0.0568 0.6908 0.6185
Sm3 0.5000 0.0000 0.0000
Sm4 0.9432 0.3092 0.3815
Sm5 0.4215 0.2405 0.5189
Al1 0.0000 0.7236 0.0000
Al2 0.0000 0.2764 0.0000
Pt1 0.0851 0.1052 0.7896
Pt2 0.7485 0.3360 0.7031
Pt3 0.7485 0.9609 0.7031
Pt4 0.3526 0.4053 0.7992
Pt5 0.3526 0.7956 0.7992
Pt6 0.7191 0.5526 0.8948
Pt7 0.2809 0.4474 0.1052
Pt8 0.6474 0.5947 0.2008
Pt9 0.6474 0.2044 0.2008
Pt10 0.2515 0.6640 0.2969
Pt11 0.2515 0.0391 0.2969
Pt12 0.9149 0.8948 0.2104

The following is a PBE-GGA calculation of KCd4Au2 after structural relaxation, from Alexandria.

The total magnetization comes out at 0.00 μB per cell. As for the formation energy: -0.171 eV/atom.

a = 4.5770 Å, b = 4.6125 Å, c = 8.6956 Å
α = 105.38°, β = 90.00°, γ = 90.00°
Element x y z (fractional)
K1 0.0000 0.0000 0.0000
Cd1 0.5000 0.8174 0.6349
Cd2 0.0000 0.6850 0.3700
Cd3 0.5000 0.1826 0.3651
Cd4 0.0000 0.3150 0.6300
Au1 0.5000 0.5815 0.1631
Au2 0.5000 0.4185 0.8369

The following is a PBE-GGA calculation of ZrB2As4 after structural relaxation, from Alexandria.

The total magnetization comes out at 0.00 μB per cell. As for the formation energy: 0.515 eV/atom.

a = 5.3372 Å, b = 5.3372 Å, c = 6.4921 Å
α = 65.73°, β = 65.73°, γ = 90.00°
Element x y z (fractional)
As1 0.7523 0.7523 0.4953
As2 0.2477 0.2477 0.5047
As3 0.0000 0.5000 0.0000
As4 0.5000 0.0000 0.0000
B1 0.5743 0.5743 0.8513
B2 0.4257 0.4257 0.1487
Zr1 0.0000 0.0000 0.0000

no.,energy (eV per atom)
1,-6.456
2,-1.787
3,-5.271